Dy12Ga3N5 after structural relaxation. Source: Alexandria via LeMat-Bulk, functional PBE-GGA.

* total energy: -6.20 eV/atom
* M_tot: 0.00 μB per cell
* SG: Ia-3d (230)
* uncorrected formation energy: -20.81 kcal/mol of atoms

Lattice parameters (Å, degrees): 13.2767 13.2767 13.2767 109.47 109.47 109.47
Last column: nearest neighbours and their distance in Å.
Element x y z (fractional)
Dy1 0.0194 0.2028 0.1156  2 N 2.23-2.49
Dy2 0.0194 0.3166 0.9038  2 N 2.23-2.49
Dy3 0.0871 0.7028 0.6834  2 N 2.23-2.49
Dy4 0.0871 0.8844 0.4038  2 N 2.23-2.49
Dy5 0.0962 0.6156 0.4129  2 N 2.23-2.49
Dy6 0.0962 0.9806 0.6834  2 N 2.23-2.49
Dy7 0.1156 0.0194 0.2028  2 N 2.23-2.49
Dy8 0.1156 0.5962 0.9129  2 N 2.23-2.49
Dy9 0.1834 0.2028 0.5871  2 N 2.23-2.49
Dy10 0.1834 0.4806 0.5962  2 N 2.23-2.49
Dy11 0.2028 0.1156 0.0194  2 N 2.23-2.49
Dy12 0.2028 0.5871 0.1834  2 N 2.23-2.49
Dy13 0.2972 0.3166 0.9129  2 N 2.23-2.49
Dy14 0.2972 0.4806 0.3844  2 N 2.23-2.49
Dy15 0.3166 0.9038 0.0194  2 N 2.23-2.49
Dy16 0.3166 0.9129 0.2972  2 N 2.23-2.49
Dy17 0.3844 0.2972 0.4806  2 N 2.23-2.49
Dy18 0.3844 0.5871 0.9038  2 N 2.23-2.49
Dy19 0.4038 0.0871 0.8844  2 N 2.23-2.49
Dy20 0.4038 0.8166 0.5194  2 N 2.23-2.49
Dy21 0.4129 0.0962 0.6156  2 N 2.23-2.49
Dy22 0.4129 0.8166 0.7972  2 N 2.23-2.49
Dy23 0.4806 0.3844 0.2972  2 N 2.23-2.49
Dy24 0.4806 0.5962 0.1834  2 N 2.23-2.49
Dy25 0.5194 0.4038 0.8166  2 N 2.23-2.49
Dy26 0.5194 0.6156 0.7028  2 N 2.23-2.49
Dy27 0.5871 0.1834 0.2028  2 N 2.23-2.49
Dy28 0.5871 0.9038 0.3844  2 N 2.23-2.49
Dy29 0.5962 0.1834 0.4806  2 N 2.23-2.49
Dy30 0.5962 0.9129 0.1156  2 N 2.23-2.49
Dy31 0.6156 0.4129 0.0962  2 N 2.23-2.49
Dy32 0.6156 0.7028 0.5194  2 N 2.23-2.49
Dy33 0.6834 0.0871 0.7028  2 N 2.23-2.49
Dy34 0.6834 0.0962 0.9806  2 N 2.23-2.49
Dy35 0.7028 0.5194 0.6156  2 N 2.23-2.49
Dy36 0.7028 0.6834 0.0871  2 N 2.23-2.49
Dy37 0.7972 0.4129 0.8166  2 N 2.23-2.49
Dy38 0.7972 0.8844 0.9806  2 N 2.23-2.49
Dy39 0.8166 0.5194 0.4038  2 N 2.23-2.49
Dy40 0.8166 0.7972 0.4129  2 N 2.23-2.49
Dy41 0.8844 0.4038 0.0871  2 N 2.23-2.49
Dy42 0.8844 0.9806 0.7972  2 N 2.23-2.49
Dy43 0.9038 0.0194 0.3166  2 N 2.23-2.49
Dy44 0.9038 0.3844 0.5871  2 N 2.23-2.49
Dy45 0.9129 0.1156 0.5962  2 N 2.23-2.49
Dy46 0.9129 0.2972 0.3166  2 N 2.23-2.49
Dy47 0.9806 0.6834 0.0962  2 N 2.23-2.49
Dy48 0.9806 0.7972 0.8844  2 N 2.23-2.49
Ga1 0.1250 0.2500 0.3750  8 Dy 3.00-3.08
Ga2 0.1250 0.3750 0.7500  8 Dy 3.00-3.08
Ga3 0.2500 0.3750 0.1250  8 Dy 3.00-3.08
Ga4 0.2500 0.8750 0.6250  8 Dy 3.00-3.08
Ga5 0.3750 0.1250 0.2500  8 Dy 3.00-3.08
Ga6 0.3750 0.7500 0.1250  8 Dy 3.00-3.08
Ga7 0.6250 0.2500 0.8750  8 Dy 3.00-3.08
Ga8 0.6250 0.8750 0.7500  8 Dy 3.00-3.08
Ga9 0.7500 0.1250 0.3750  8 Dy 3.00-3.08
Ga10 0.7500 0.6250 0.8750  8 Dy 3.00-3.08
Ga11 0.8750 0.6250 0.2500  8 Dy 3.00-3.08
Ga12 0.8750 0.7500 0.6250  8 Dy 3.00-3.08
N1 0.0000 0.0000 0.0000  6 Dy 2.49
N2 0.0000 0.0000 0.5000  6 Dy 2.49
N3 0.0000 0.5000 0.0000  6 Dy 2.49
N4 0.0000 0.5000 0.5000  6 Dy 2.49
N5 0.1250 0.7500 0.8750  4 Dy 2.23
N6 0.1250 0.8750 0.2500  4 Dy 2.23
N7 0.2500 0.1250 0.8750  4 Dy 2.23
N8 0.2500 0.6250 0.3750  4 Dy 2.23
N9 0.3750 0.2500 0.6250  4 Dy 2.23
N10 0.3750 0.6250 0.7500  4 Dy 2.23
N11 0.5000 0.0000 0.0000  6 Dy 2.49
N12 0.5000 0.0000 0.5000  6 Dy 2.49
N13 0.5000 0.5000 0.0000  6 Dy 2.49
N14 0.5000 0.5000 0.5000  6 Dy 2.49
N15 0.6250 0.3750 0.2500  4 Dy 2.23
N16 0.6250 0.7500 0.3750  4 Dy 2.23
N17 0.7500 0.3750 0.6250  4 Dy 2.23
N18 0.7500 0.8750 0.1250  4 Dy 2.23
N19 0.8750 0.1250 0.7500  4 Dy 2.23
N20 0.8750 0.2500 0.1250  4 Dy 2.23